Record 1
The following is a DFT calculation (PBE-GGA) of a relaxed Rb2NbIr3O12 crystal.

Values from the calculation:
formation energy (no corrections)	-1.23	eV/atom

a = 7.2257 Å, b = 7.2257 Å, c = 18.2532 Å
α = 90.00°, β = 90.00°, γ = 120.00°
Closest atoms and distances in Å follow each position.
Space group R-3m (No. 166, hexagonal axes)
Asymmetric unit:
Rb 0.0000 0.0000 0.1233 x6  6 O 3.17-3.18
Nb 0.0000 0.0000 0.5000 x3  6 O 2.00
Ir 0.0000 0.5000 0.0000 x9  6 O 1.93-1.95
O 0.0705 0.5353 0.1041 x18  1 Ir 1.95, 1 Nb 2.00
O 0.0714 0.5357 0.3521 x18  2 Ir 1.93


Record 2
The following is a DFT calculation (PBE-GGA) of a relaxed SiAuS2 crystal.

Values from the calculation:
formation energy (no corrections)	0.02	eV/atom

a = 5.4030 Å, b = 5.4030 Å, c = 11.9110 Å
α = 90.00°, β = 90.00°, γ = 90.00°
Closest atoms and distances in Å follow each position.
Space group I-42d (No. 122)
Asymmetric unit:
Si 0.0000 0.0000 0.0000 x4  4 S 2.31
Au 0.0000 0.0000 0.5000 x4  4 S 2.55
S 0.2096 0.2500 0.1250 x8  2 Si 2.31, 2 Au 2.55


Record 3
The following is a DFT calculation (PBE-GGA) of a relaxed TePtSe crystal.

Values from the calculation:
formation energy (no corrections)	-0.38	eV/atom
offset from the most stable computed form	0.003	eV per atom

a = 5.3501 Å, b = 3.9501 Å, c = 6.8115 Å
α = 90.00°, β = 90.56°, γ = 90.00°
Closest atoms and distances in Å follow each position.
Space group P2_1/m (No. 11)
Asymmetric unit:
Te 0.2456 0.2500 0.4123 x2  3 Pt 2.68-2.70
Pt 0.4963 0.2500 0.7582 x2  3 Se 2.57-2.59, 3 Te 2.68-2.70
Se 0.2575 0.7500 0.9163 x2  3 Pt 2.57-2.59


Record 4
The following is a DFT calculation (PBE-GGA) of a relaxed Ni8IrPd2 crystal.

Values from the calculation:
formation energy	260	meV per atom

a = 3.8452 Å, b = 10.1128 Å, c = 7.4844 Å
α = 90.00°, β = 90.00°, γ = 90.00°
Closest atoms and distances in Å follow each position.
Space group Amm2 (No. 38)
Asymmetric unit:
Ni 0.0000 0.0000 0.0000 x2  1 Ir 2.47, 5 Ni 2.53-2.63, 4 Pd 2.64
Ni 0.0000 0.0000 0.3384 x2  1 Ir 2.48, 5 Ni 2.53-2.63, 4 Pd 2.64
Ni 0.0000 0.2359 0.6679 x4  2 Pd 2.37, 1 Ir 2.39, 4 Ni 2.53
Ni 0.5000 0.1263 0.5063 x4  6 Ni 2.44-2.63, 1 Pd 2.52, 2 Ir 2.61
Ni 0.5000 0.1267 0.8319 x4  6 Ni 2.44-2.63, 1 Pd 2.52, 2 Ir 2.61
Ir 0.0000 0.0000 0.6693 x2  12 Ni 2.39-2.61
Pd 0.5000 0.1272 0.1692 x4  8 Ni 2.37-2.64, 1 Pd 2.57


Record 5
The following is a DFT calculation (PBE-GGA) of a relaxed Tm2Ga9Ir3 crystal.

Values from the calculation:
formation energy	-647	meV per atom

a = 13.0770 Å, b = 7.5708 Å, c = 9.4708 Å
α = 90.00°, β = 90.00°, γ = 90.00°
Closest atoms and distances in Å follow each position.
Space group Cmcm (No. 63)
Asymmetric unit:
Tm 0.1642 0.1662 0.2500 x8  11 Ga 2.98-3.14
Ga 0.0000 0.1280 0.7500 x4  2 Ir 2.56, 6 Ga 2.73-2.75
Ga 0.0000 0.3320 0.0678 x8  3 Ir 2.59-2.66, 5 Ga 2.78-2.89
Ga 0.1041 0.4429 0.7500 x8  2 Ir 2.56, 6 Ga 2.72-2.78
Ga 0.1677 0.1669 0.5814 x16  3 Ir 2.57-2.65, 2 Ga 2.73-2.76
Ir 0.0000 0.0000 0.0000 x4  8 Ga 2.56-2.65
Ir 0.1717 0.5000 0.0000 x8  8 Ga 2.56-2.66


Record 6
The following is a DFT calculation (PBE-GGA) of a relaxed SrPr2Ni crystal.

Values from the calculation:
formation energy	-18	meV per atom
offset from the most stable computed form	0.038	eV per atom

a = 3.6315 Å, b = 3.6315 Å, c = 9.9573 Å
α = 90.00°, β = 90.00°, γ = 90.00°
Closest atoms and distances in Å follow each position.
Space group P4/mmm (No. 123)
Asymmetric unit:
Sr 0.0000 0.0000 0.0000 x1  4 Sr 3.63
Pr 0.5000 0.5000 0.3374 x2  4 Ni 3.04, 1 Pr 3.24
Ni 0.0000 0.0000 0.5000 x1  8 Pr 3.04


Record 7
The following is a DFT calculation (PBE-GGA) of a relaxed BaNa2Sn crystal.

Values from the calculation:
formation energy	-307	meV per atom

a = 11.8717 Å, b = 5.5470 Å, c = 8.6910 Å
α = 90.00°, β = 95.81°, γ = 90.00°
Closest atoms and distances in Å follow each position.
Space group Cm (No. 8)
Asymmetric unit:
Ba 0.0000 0.0000 0.0000 x2  4 Sn 3.53-3.70, 4 Na 3.55-3.95
Ba 0.1871 0.5000 0.7568 x2  3 Na 3.64-3.65, 5 Sn 3.79-4.02
Na 0.1817 0.0000 0.3907 x2  2 Sn 3.18-3.47, 4 Na 3.30-3.45
Na 0.2808 0.5000 0.2490 x2  4 Na 3.30-3.61, 3 Sn 3.33-3.43, 1 Ba 3.55
Na 0.3787 0.0000 0.7040 x2  3 Sn 3.17-3.19, 2 Na 3.33-3.40
Na 0.4680 0.0000 0.3535 x2  3 Sn 3.21-3.40, 2 Na 3.33-3.45
Sn 0.2990 0.0000 0.0415 x2  5 Na 3.17-3.47, 1 Ba 3.53
Sn 0.4656 0.5000 0.5789 x2  6 Na 3.18-3.43


Record 8
The following is a DFT calculation (PBE-GGA) of a relaxed Zn6SbAu12 crystal.

Values from the calculation:
formation energy (no corrections)	-0.12	eV/atom
offset from the most stable computed form	0.000	eV per atom

a = 12.6491 Å, b = 12.6491 Å, c = 7.1901 Å
α = 90.00°, β = 90.00°, γ = 120.00°
Closest atoms and distances in Å follow each position.
Space group R-3 (No. 148, hexagonal axes)
Asymmetric unit:
Zn 0.0255 0.7479 0.3223 x18  8 Au 2.69-2.94, 2 Zn 2.87
Sb 0.0000 0.0000 0.0000 x3  12 Au 3.03-3.05
Au 0.0070 0.1436 0.3449 x18  3 Zn 2.69-2.89, 4 Au 2.85-2.87
Au 0.0586 0.5051 0.6758 x18  5 Zn 2.70-2.94, 5 Au 2.86-3.03, 1 Sb 3.03


Record 9
The following is a DFT calculation (PBE-GGA) of a relaxed Tm5Te2C crystal.

Values from the calculation:
formation energy (no corrections)	-0.44	eV/atom
offset from the most stable computed form	0.290	eV per atom

a = 4.3611 Å, b = 16.2519 Å, c = 13.6318 Å
α = 90.00°, β = 90.00°, γ = 90.00°
Closest atoms and distances in Å follow each position.
Space group Cmcm (No. 63)
Asymmetric unit:
Tm 0.0000 0.1149 0.1236 x8  1 C 2.29
Tm 0.0000 0.2413 0.7500 x4  2 C 2.33
Tm 0.0000 0.3088 0.0625 x8  2 Te 2.98, 1 C 3.04, 1 Tm 3.26
Te 0.0000 0.0743 0.6156 x8  5 Tm 2.98-3.33
C 0.0000 0.2075 0.2500 x4  4 Tm 2.29-2.33


Record 10
The following is a DFT calculation (PBE-GGA) of a relaxed RbSr2NiPd crystal.

Values from the calculation:
formation energy	405	meV per atom

a = 5.8135 Å, b = 5.8135 Å, c = 6.0952 Å
α = 90.00°, β = 90.00°, γ = 90.00°
Closest atoms and distances in Å follow each position.
Space group P4/mmm (No. 123)
Asymmetric unit:
Rb 0.0000 0.0000 0.0000 x1  2 Pd 3.05
Sr 0.0000 0.5000 0.5000 x2  2 Pd 2.91
Ni 0.5000 0.5000 0.0000 x1  4 Rb 4.11, 8 Sr 4.21
Pd 0.0000 0.0000 0.5000 x1  4 Sr 2.91, 2 Rb 3.05


Record 11
The following is a DFT calculation (PBE-GGA) of a relaxed MgSeN3 crystal.

Values from the calculation:
formation energy (no corrections)	2.08	eV/atom

a = 4.0182 Å, b = 4.0182 Å, c = 4.0182 Å
α = 90.00°, β = 90.00°, γ = 90.00°
Closest atoms and distances in Å follow each position.
Space group Pm-3m (No. 221)
Asymmetric unit:
Mg 0.0000 0.0000 0.0000 x1  6 N 2.01
Se 0.5000 0.5000 0.5000 x1  12 N 2.84
N 0.0000 0.0000 0.5000 x3  2 Mg 2.01


Record 12
The following is a DFT calculation (PBE-GGA) of a relaxed Ho2CrPt9 crystal.

Values from the calculation:
formation energy	-768	meV per atom

a = 4.0453 Å, b = 4.0453 Å, c = 12.1666 Å
α = 90.00°, β = 90.00°, γ = 90.00°
Closest atoms and distances in Å follow each position.
Space group P4/mmm (No. 123)
Asymmetric unit:
Ho 0.0000 0.0000 0.1703 x2  12 Pt 2.86-2.94
Cr 0.0000 0.0000 0.5000 x1  12 Pt 2.76-2.86
Pt 0.0000 0.5000 0.0000 x2  8 Pt 2.86-2.91, 4 Ho 2.90
Pt 0.0000 0.5000 0.3456 x4  2 Cr 2.76, 8 Pt 2.76-2.92, 2 Ho 2.94
Pt 0.5000 0.5000 0.1724 x2  4 Ho 2.86, 8 Pt 2.91-2.92
Pt 0.5000 0.5000 0.5000 x1  8 Pt 2.76, 4 Cr 2.86


Record 13
The following is a DFT calculation (PBE-GGA) of a relaxed PrSm3Fe crystal.

Values from the calculation:
formation energy	170	meV per atom

a = 5.3900 Å, b = 5.3900 Å, c = 5.3900 Å
α = 90.00°, β = 90.00°, γ = 90.00°
Closest atoms and distances in Å follow each position.
Space group Pm-3m (No. 221)
Asymmetric unit:
Pr 0.0000 0.0000 0.0000 x1  12 Sm 3.81
Sm 0.0000 0.5000 0.5000 x3  2 Fe 2.70
Fe 0.5000 0.5000 0.5000 x1  6 Sm 2.70


Record 14
The following is a DFT calculation (PBE-GGA) of a relaxed LaMg2Sb crystal.

Values from the calculation:
formation energy (no corrections)	-0.07	eV/atom

a = 3.4316 Å, b = 3.4316 Å, c = 32.5722 Å
α = 90.00°, β = 90.00°, γ = 120.00°
Closest atoms and distances in Å follow each position.
Space group R-3m (No. 166, hexagonal axes)
Asymmetric unit:
La 0.0000 0.0000 0.0000 x3  6 La 3.43, 6 Mg 3.56
Mg 0.0000 0.0000 0.2425 x6  3 Sb 3.17, 6 Mg 3.43
Sb 0.0000 0.0000 0.5000 x3  6 Mg 3.17, 6 Sb 3.43


Record 15
The following is a DFT calculation (PBE-GGA) of a relaxed Zr4Ir2Rh crystal.

Values from the calculation:
formation energy	-704	meV per atom

a = 4.6210 Å, b = 4.6210 Å, c = 22.6166 Å
α = 90.00°, β = 90.00°, γ = 120.00°
Closest atoms and distances in Å follow each position.
Space group R-3m (No. 166, hexagonal axes)
Asymmetric unit:
Zr 0.0000 0.0000 0.1217 x6  4 Ir 2.80-2.88, 3 Rh 2.86
Zr 0.0000 0.0000 0.3719 x6  4 Ir 2.78-2.86, 1 Rh 2.90
Ir 0.0000 0.0000 0.2489 x6  8 Zr 2.78-2.88
Rh 0.0000 0.0000 0.5000 x3  8 Zr 2.86-2.90


Record 16
The following is a DFT calculation (PBE-GGA) of a relaxed LaNd15Sm4 crystal.

Values from the calculation:
formation energy	15	meV per atom

a = 5.2037 Å, b = 5.2037 Å, c = 25.9762 Å
α = 90.00°, β = 90.00°, γ = 90.00°
Closest atoms and distances in Å follow each position.
Space group P4/mmm (No. 123)
Asymmetric unit:
La 0.0000 0.0000 0.0000 x1  12 Nd 3.68-3.70
Nd 0.0000 0.5000 0.1014 x4  2 Sm 3.66, 8 Nd 3.68-3.70, 2 La 3.70
Nd 0.0000 0.5000 0.3007 x4  8 Nd 3.66-3.68, 4 Sm 3.67-3.68
Nd 0.0000 0.5000 0.5000 x2  4 Sm 3.67, 8 Nd 3.67-3.68
Nd 0.5000 0.5000 0.0000 x1  4 La 3.68, 8 Nd 3.70
Nd 0.5000 0.5000 0.2015 x2  8 Nd 3.66-3.68, 4 Sm 3.68
Nd 0.5000 0.5000 0.4003 x2  8 Nd 3.67, 4 Sm 3.68
Sm 0.0000 0.0000 0.2007 x2  12 Nd 3.66-3.68
Sm 0.0000 0.0000 0.4004 x2  12 Nd 3.67-3.68


Record 17
The following is a DFT calculation (PBE-GGA) of a relaxed ZrAgP2Cl crystal.

Values from the calculation:
formation energy (no corrections)	0.04	eV/atom
offset from the most stable computed form	0.000	eV per atom

a = 5.0618 Å, b = 5.0618 Å, c = 5.0428 Å
α = 90.00°, β = 90.00°, γ = 90.00°
Closest atoms and distances in Å follow each position.
Space group P4/mmm (No. 123)
Asymmetric unit:
Zr 0.0000 0.0000 0.0000 x1  2 Cl 2.52, 4 P 2.53
Ag 0.5000 0.5000 0.5000 x1  8 P 3.57, 4 Cl 3.58
P 0.0000 0.5000 0.0000 x2  2 Zr 2.53
Cl 0.0000 0.0000 0.5000 x1  2 Zr 2.52


Record 18
The following is a DFT calculation (PBE-GGA) of a relaxed Al2InSnBi crystal.

Values from the calculation:
formation energy	627	meV per atom

a = 5.2092 Å, b = 5.2092 Å, c = 5.6282 Å
α = 90.00°, β = 90.00°, γ = 90.00°
Closest atoms and distances in Å follow each position.
Space group P4/mmm (No. 123)
Asymmetric unit:
Al 0.0000 0.5000 0.0000 x2  2 In 2.60
In 0.0000 0.0000 0.0000 x1  4 Al 2.60, 2 Sn 2.81
Sn 0.0000 0.0000 0.5000 x1  2 In 2.81
Bi 0.5000 0.5000 0.5000 x1  4 Sn 3.68, 8 Al 3.83


Record 19
The following is a DFT calculation (PBE-GGA) of a relaxed LaCuAgHg crystal.

Values from the calculation:
formation energy	-190	meV per atom

a = 7.0885 Å, b = 7.0885 Å, c = 7.0885 Å
α = 90.00°, β = 90.00°, γ = 90.00°
Closest atoms and distances in Å follow each position.
Space group F-43m (No. 216)
Asymmetric unit:
La 0.0000 0.0000 0.0000 x4  4 Cu 3.07, 4 Ag 3.07
Cu 0.2500 0.2500 0.7500 x4  4 Hg 3.07, 4 La 3.07
Ag 0.2500 0.2500 0.2500 x4  4 Hg 3.07, 4 La 3.07
Hg 0.0000 0.0000 0.5000 x4  4 Ag 3.07, 4 Cu 3.07


Record 20
The following is a DFT calculation (PBE-GGA) of a relaxed GaPtI crystal.

Values from the calculation:
formation energy (no corrections)	-0.23	eV/atom

a = 12.3326 Å, b = 3.9945 Å, c = 7.3089 Å
α = 90.00°, β = 118.21°, γ = 90.00°
Closest atoms and distances in Å follow each position.
Space group C2/m (No. 12)
Asymmetric unit:
Ga 0.1776 0.0000 0.3636 x4  3 Pt 2.47-2.49
Pt 0.2489 0.0000 0.7449 x4  3 Ga 2.47-2.49
I 0.1002 0.5000 0.8069 x4  3 Pt 2.89-2.90


Record 21
The following is a DFT calculation (PBE-GGA) of a relaxed CoSb2IrI crystal.

Values from the calculation:
formation energy (no corrections)	0.96	eV/atom
offset from the most stable computed form	0.000	eV per atom

a = 4.7644 Å, b = 4.7644 Å, c = 5.1084 Å
α = 90.00°, β = 90.00°, γ = 90.00°
Closest atoms and distances in Å follow each position.
Space group P4/mmm (No. 123)
Asymmetric unit:
Co 0.0000 0.0000 0.0000 x1  4 Sb 2.38, 2 I 2.55
Sb 0.0000 0.5000 0.0000 x2  2 Co 2.38
Ir 0.5000 0.5000 0.5000 x1  4 I 3.37, 8 Sb 3.49
I 0.0000 0.0000 0.5000 x1  2 Co 2.55


Record 22
The following is a DFT calculation (PBE-GGA) of a relaxed Ca7Cd2Au crystal.

Values from the calculation:
formation energy	-297	meV per atom

a = 17.3687 Å, b = 8.0069 Å, c = 10.7490 Å
α = 90.00°, β = 118.76°, γ = 90.00°
Closest atoms and distances in Å follow each position.
Space group C2/c (No. 15)
Asymmetric unit:
Ca 0.0000 0.1033 0.2500 x4  1 Au 3.20, 2 Cd 3.35
Ca 0.0879 0.3155 0.5893 x8  2 Au 3.16-3.54, 1 Cd 3.32, 1 Ca 3.49
Ca 0.1377 0.2276 0.9992 x8  3 Cd 3.31-3.45, 1 Au 3.38, 2 Ca 3.63-3.71
Ca 0.1914 0.3893 0.3587 x8  1 Au 3.08, 3 Cd 3.22-3.31
Cd 0.2001 0.0037 0.8042 x8  8 Ca 3.22-3.45
Au 0.0000 0.4975 0.7500 x4  7 Ca 3.08-3.38


| no. | ρ (kg/m³) |
| --- | --- |
| 1 | 6232 |
| 2 | 5524 |
| 3 | 9267 |
| 4 | 9980 |
| 5 | 10924 |
| 6 | 5414 |
| 7 | 3523 |
| 8 | 14390 |
| 9 | 7644 |
| 10 | 3433 |
| 11 | 3719 |
| 12 | 17828 |
| 13 | 6870 |
| 14 | 4638 |
| 15 | 10151 |
| 16 | 6856 |
| 17 | 3811 |
| 18 | 5398 |
| 19 | 9528 |
| 20 | 8200 |
| 21 | 8901 |
| 22 | 3560 |